Below is a crystal of FeAg3F relaxed with PBEsol, with properties calculated at the meta-GGA SCAN level.

POSCAR file:
```
FeAg3F
1.0
4.735 0.000 0.000
0.000 4.735 0.000
0.000 0.000 4.735
Fe Ag F
1 3 1
direct
0.000 0.000 0.000 Fe
0.000 0.000 0.500 Ag
0.000 0.500 0.000 Ag
0.500 0.000 0.000 Ag
0.500 0.500 0.500 F
```

Output
space-group type: Pm-3m


Below is a crystal of FeAgF2 relaxed with PBEsol, with properties calculated at the meta-GGA SCAN level.

POSCAR file:
```
FeAgF2
1.0
2.822 0.000 0.000
-1.411 2.444 0.000
0.000 0.000 23.306
Fe Ag F
3 3 6
direct
0.000 0.000 0.000 Fe
0.333 0.667 0.667 Fe
0.667 0.333 0.333 Fe
0.000 0.000 0.500 Ag
0.333 0.667 0.167 Ag
0.667 0.333 0.833 Ag
0.000 0.000 0.076 F
0.000 0.000 0.924 F
0.333 0.667 0.590 F
0.333 0.667 0.743 F
0.667 0.333 0.257 F
0.667 0.333 0.410 F
```

Output
space-group type: R-3m


Below is a crystal of Fe2AgPF relaxed with PBEsol, with properties calculated at the meta-GGA SCAN level.

POSCAR file:
```
Fe2AgPF
1.0
4.772 0.000 0.000
0.000 4.772 0.000
0.000 0.000 3.900
Fe Ag P F
2 1 1 1
direct
0.000 0.500 0.000 Fe
0.500 0.000 0.000 Fe
0.000 0.000 0.000 Ag
0.500 0.500 0.500 P
0.000 0.000 0.500 F
```

Output
space-group type: P4/mmm


Below is a crystal of MnAgGeF2 relaxed with PBEsol, with properties calculated at the meta-GGA SCAN level.

POSCAR file:
```
MnAgGeF2
1.0
4.047 0.000 0.000
0.000 4.047 0.000
0.000 0.000 5.196
Mn Ag Ge F
1 1 1 2
direct
0.000 0.000 0.000 Mn
0.500 0.500 0.000 Ag
0.500 0.500 0.500 Ge
0.000 0.500 0.500 F
0.500 0.000 0.500 F
```

Output
space-group type: P4/mmm


These records have E_form (uncorrected) values of 0.732 -1.199 0.803 -0.826 eV per atom, in the order they appear.
These records have DOS at the Fermi energy values of 3.1 1.4 4.0 1.5 states/eV/f.u., in the order they appear.
These records have calculated total energy values of -22.422 -15.343 -15.510 -15.984 eV per atom, in the order they appear.